## ThZrCuNi (PBE)

Data for a relaxed structure of ThZrCuNi.

Cell lengths 4.8174, 4.8174, 4.8174 Å; angles 60.00, 60.00, 60.00 degrees
Fractional coordinates of all 4 atoms:
Ni (0.7500, 0.7500, 0.7500)
Cu (0.2500, 0.2500, 0.2500)
Zr (0.5000, 0.5000, 0.5000)
Th (0.0000, 0.0000, 0.0000)

Space-group type: No. 216
Calculated total energy (eV per atom): -6.57
E_form (eV per formula unit): -0.45
Crystal system: cubic